The following is a DFT calculation (PBE) of an optimized crystal structure of Tl2CoTc.

Summary:
- DFT total energy (eV per cell) = -19.0
- space group = I-4m2 (119)
- M_tot (μB per atom) = 0.826

Cell lengths 5.3948, 5.3948, 5.3948 Å; angles 136.36, 136.36, 63.42 degrees
Element x y z (fractional)
Tl (0.0000, 0.0000, 0.0000)
Tl (0.2500, 0.7500, 0.5000)
Co (0.5000, 0.5000, 0.0000)
Tc (0.7500, 0.2500, 0.5000)



The following is a DFT calculation (PBE) of an optimized crystal structure of TlCo4Tc.

Summary:
- DFT total energy (eV per cell) = -39.0
- space group = F-43m (216)
- M_tot (μB per atom) = 1.296

Cell lengths 4.8380, 4.8380, 4.8380 Å; angles 60.00, 60.00, 60.00 degrees
Element x y z (fractional)
Tl (0.0000, 0.0000, 0.0000)
Tc (0.7500, 0.7500, 0.7500)
Co (0.3756, 0.8733, 0.3756)
Co (0.3756, 0.3756, 0.3756)
Co (0.3756, 0.3756, 0.8733)
Co (0.8733, 0.3756, 0.3756)



The following is a DFT calculation (PBE) of an optimized crystal structure of Tl2CoTc.

Summary:
- DFT total energy (eV per cell) = -18.9
- space group = C2/m (12)
- M_tot (μB per atom) = 0.461

Cell lengths 4.7175, 4.7175, 5.3775 Å; angles 77.56, 77.56, 38.90 degrees
Element x y z (fractional)
Co (0.2500, 0.2500, 0.2500)
Tc (0.7500, 0.7500, 0.7500)
Tl (0.9942, 0.9942, 0.0077)
Tl (0.5058, 0.5058, 0.4923)



The following is a DFT calculation (PBE) of an optimized crystal structure of Tm8Co2Tc.

Summary:
- DFT total energy (eV per cell) = -61.7
- space group = C2/m (12)
- M_tot (μB per atom) = 0.000

Cell lengths 4.8311, 6.6546, 8.7606 Å; angles 107.14, 106.01, 90.00 degrees
Element x y z (fractional)
Tc (0.5000, 0.0000, 0.0000)
Tm (0.4040, 0.5414, 0.8079)
Tm (0.9652, 0.2036, 0.9304)
Tm (0.8002, 0.6812, 0.6003)
Co (0.1868, 0.6983, 0.3735)
Tm (0.3276, 0.0275, 0.6552)
Co (0.8132, 0.3017, 0.6265)
Tm (0.6724, 0.9725, 0.3448)
Tm (0.5960, 0.4586, 0.1921)
Tm (0.0348, 0.7964, 0.0696)
Tm (0.1998, 0.3188, 0.3997)



The following is a DFT calculation (PBE) of an optimized crystal structure of TmCoTc.

Summary:
- DFT total energy (eV per cell) = -45.2
- space group = Imma (74)
- M_tot (μB per atom) = 0.320

Cell lengths 4.9699, 5.2396, 5.2396 Å; angles 61.18, 61.69, 61.69 degrees
Element x y z (fractional)
Co (0.5000, 0.5000, 0.0000)
Tm (0.1209, 0.6291, 0.6291)
Tc (0.5000, 0.0000, 0.0000)
Tm (0.8791, 0.3709, 0.3709)
Co (0.5000, 0.0000, 0.5000)
Tc (0.0000, 0.0000, 0.0000)



The following is a DFT calculation (PBE) of an optimized crystal structure of TmCo4Tc.

Summary:
- DFT total energy (eV per cell) = -43.4
- space group = F-43m (216)
- M_tot (μB per atom) = 1.342

Cell lengths 4.8885, 4.8885, 4.8885 Å; angles 60.00, 60.00, 60.00 degrees
Element x y z (fractional)
Co (0.6244, 0.6244, 0.1267)
Tm (0.0000, 0.0000, 0.0000)
Co (0.6244, 0.1267, 0.6244)
Tc (0.2500, 0.2500, 0.2500)
Co (0.6244, 0.6244, 0.6244)
Co (0.1267, 0.6244, 0.6244)



The following is a DFT calculation (PBE) of an optimized crystal structure of Tm8Co2Tc.

Summary:
- DFT total energy (eV per cell) = -61.2
- space group = Cm (8)
- M_tot (μB per atom) = 0.000

Cell lengths 5.6200, 7.3544, 7.3544 Å; angles 112.86, 99.70, 99.70 degrees
Element x y z (fractional)
Tm (0.9909, 0.7796, 0.2191)
Tm (0.3945, 0.6739, 0.9310)
Tm (0.9909, 0.2191, 0.7796)
Tm (0.5790, 0.3326, 0.0749)
Tm (0.5790, 0.0749, 0.3326)
Tc (0.0911, 0.0031, 0.0031)
Co (0.4961, 0.3172, 0.6952)
Tm (0.3945, 0.9310, 0.6739)
Co (0.4961, 0.6952, 0.3172)
Tm (0.8066, 0.6416, 0.6416)
Tm (0.1807, 0.3657, 0.3657)



The following is a DFT calculation (PBE) of an optimized crystal structure of Tm5CoTc.

Summary:
- DFT total energy (eV per cell) = -80.5
- space group = C2/c (15)
- M_tot (μB per atom) = 0.000

Cell lengths 8.2187, 8.2187, 9.2099 Å; angles 64.28, 64.28, 111.87 degrees
Element x y z (fractional)
Tm (0.1031, 0.8005, 0.4421)
Tc (0.7483, 0.7517, 0.7500)
Tc (0.2517, 0.2483, 0.2500)
Tm (0.3005, 0.6031, 0.9421)
Tm (0.4463, 0.2836, 0.8595)
Tm (0.8961, 0.6039, 0.2500)
Tm (0.5537, 0.7164, 0.1405)
Tm (0.7836, 0.9463, 0.3595)
Co (0.0000, 0.0000, 0.0000)
Co (0.5000, 0.5000, 0.5000)
Tm (0.2164, 0.0537, 0.6405)
Tm (0.6995, 0.3969, 0.0579)
Tm (0.1039, 0.3961, 0.7500)
Tm (0.8969, 0.1995, 0.5579)



The following is a DFT calculation (PBE) of an optimized crystal structure of Tm8CoTc2.

Summary:
- DFT total energy (eV per cell) = -64.2
- space group = Cm (8)
- M_tot (μB per atom) = 0.000

Cell lengths 5.7587, 7.4907, 7.4907 Å; angles 113.26, 101.65, 101.65 degrees
Element x y z (fractional)
Tm (0.3767, 0.6655, 0.9248)
Tc (0.4937, 0.7003, 0.3187)
Co (0.1347, 0.9985, 0.9985)
Tm (0.3767, 0.9248, 0.6655)
Tm (0.5849, 0.0845, 0.3426)
Tm (0.1853, 0.3601, 0.3601)
Tm (0.7964, 0.6428, 0.6428)
Tm (0.5849, 0.3426, 0.0845)
Tm (0.9863, 0.7913, 0.2049)
Tc (0.4937, 0.3187, 0.7003)
Tm (0.9863, 0.2049, 0.7913)



The following is a DFT calculation (PBE) of an optimized crystal structure of Tm2CoTc.

Summary:
- DFT total energy (eV per cell) = -26.6
- space group = P4/mmm (123)
- M_tot (μB per atom) = 0.314

Cell lengths 3.3648, 3.3648, 6.6431 Å; angles 90.00, 90.00, 90.00 degrees
Element x y z (fractional)
Tc (0.5000, 0.5000, 0.5000)
Tm (0.0000, 0.0000, 0.7551)
Tm (0.0000, 0.0000, 0.2449)
Co (0.5000, 0.5000, 0.0000)



The following is a DFT calculation (PBE) of an optimized crystal structure of TmCoTc.

Summary:
- DFT total energy (eV per cell) = -135.9
- space group = R-3m (166)
- M_tot (μB per atom) = 0.243

Cell lengths 5.1654, 5.1654, 13.2992 Å; angles 78.80, 78.80, 60.00 degrees
Element x y z (fractional)
Tm (0.2677, 0.2677, 0.1970)
Co (0.0000, 0.5000, 0.0000)
Co (0.5000, 0.5000, 0.0000)
Tc (0.2751, 0.7769, 0.6729)
Tm (0.9612, 0.9612, 0.1164)
Tm (0.7323, 0.7323, 0.8030)
Co (0.3843, 0.3843, 0.8470)
Tc (0.2751, 0.2751, 0.6729)
Co (0.6157, 0.6157, 0.1530)
Tm (0.0388, 0.0388, 0.8836)
Tc (0.7769, 0.2751, 0.6729)
Tm (0.8188, 0.8188, 0.5437)
Co (0.5000, 0.5000, 0.5000)
Co (0.5000, 0.0000, 0.0000)
Tc (0.7249, 0.7249, 0.3271)
Tc (0.7249, 0.2231, 0.3271)
Tm (0.1812, 0.1812, 0.4563)
Tc (0.2231, 0.7249, 0.3271)



The following is a DFT calculation (PBE) of an optimized crystal structure of Tm2Co2Tc.

Summary:
- DFT total energy (eV per cell) = -69.2
- space group = C2/c (15)
- M_tot (μB per atom) = 0.000

Cell lengths 5.3008, 5.3008, 7.4075 Å; angles 79.49, 79.49, 61.06 degrees
Element x y z (fractional)
Tm (0.7743, 0.5241, 0.3482)
Tm (0.5241, 0.7743, 0.8482)
Tc (0.8782, 0.1218, 0.7500)
Tc (0.1218, 0.8782, 0.2500)
Co (0.7415, 0.9944, 0.5025)
Tm (0.4759, 0.2257, 0.1518)
Co (0.9944, 0.7415, 0.0025)
Co (0.2585, 0.0056, 0.4975)
Co (0.0056, 0.2585, 0.9975)
Tm (0.2257, 0.4759, 0.6518)



The following is a DFT calculation (PBE) of an optimized crystal structure of Tm2CoTc3.

Summary:
- DFT total energy (eV per cell) = -48.5
- space group = R-3m (166)
- M_tot (μB per atom) = 0.238

Cell lengths 5.2024, 5.2024, 5.3885 Å; angles 89.98, 118.89, 120.00 degrees
Element x y z (fractional)
Tc (0.5000, 0.5000, 0.5000)
Tm (0.2493, 0.6248, 0.8741)
Co (0.0000, 0.0000, 0.0000)
Tc (0.0000, 0.0000, 0.5000)
Tc (0.5000, 0.0000, 0.5000)
Tm (0.7507, 0.3752, 0.1259)



The following is a DFT calculation (PBE) of an optimized crystal structure of Tm6Co2Tc.

Summary:
- DFT total energy (eV per cell) = -105.8
- space group = Immm (71)
- M_tot (μB per atom) = 0.000

Cell lengths 8.0573, 8.0573, 8.0573 Å; angles 107.26, 109.74, 111.43 degrees
Element x y z (fractional)
Tm (0.1859, 0.2552, 0.4411)
Tm (0.3124, 0.9837, 0.6713)
Tm (0.0894, 0.2671, 0.8222)
Tm (0.6876, 0.0163, 0.3287)
Tm (0.8141, 0.2552, 0.0693)
Co (0.5000, 0.6143, 0.1143)
Tm (0.8141, 0.7448, 0.5589)
Tc (0.0000, 0.0000, 0.0000)
Co (0.6651, 0.0000, 0.6651)
Tm (0.4449, 0.2671, 0.1778)
Co (0.5000, 0.3857, 0.8857)
Tm (0.3124, 0.6411, 0.3287)
Co (0.3349, 0.0000, 0.3349)
Tc (0.0000, 0.5000, 0.5000)
Tm (0.9106, 0.7329, 0.1778)
Tm (0.1859, 0.7448, 0.9307)
Tm (0.5551, 0.7329, 0.8222)
Tm (0.6876, 0.3589, 0.6713)



The following is a DFT calculation (PBE) of an optimized crystal structure of Tm2CoTc.

Summary:
- DFT total energy (eV per cell) = -24.0
- space group = R-3m (166)
- M_tot (μB per atom) = 0.147

Cell lengths 3.1437, 3.1437, 9.4732 Å; angles 80.45, 80.45, 60.00 degrees
Element x y z (fractional)
Co (0.5000, 0.5000, 0.5000)
Tc (0.0000, 0.0000, 0.0000)
Tm (0.9041, 0.9041, 0.2876)
Tm (0.0959, 0.0959, 0.7124)



The following is a DFT calculation (PBE) of an optimized crystal structure of UCo4Tc.

Summary:
- DFT total energy (eV per cell) = -50.1
- space group = F-43m (216)
- M_tot (μB per atom) = 0.476

Cell lengths 4.8052, 4.8052, 4.8052 Å; angles 60.00, 60.00, 60.00 degrees
Element x y z (fractional)
Tc (0.0000, 0.0000, 0.0000)
U (0.2500, 0.2500, 0.2500)
Co (0.6262, 0.6262, 0.1213)
Co (0.6262, 0.6262, 0.6262)
Co (0.6262, 0.1213, 0.6262)
Co (0.1213, 0.6262, 0.6262)



The following is a DFT calculation (PBE) of an optimized crystal structure of V4CoTc3.

Summary:
- DFT total energy (eV per cell) = -77.0
- space group = P4/mmm (123)
- M_tot (μB per atom) = 0.230

Cell lengths 3.0164, 3.0164, 11.8346 Å; angles 90.00, 90.00, 90.00 degrees
Element x y z (fractional)
V (0.0000, 0.0000, 0.6276)
Tc (0.5000, 0.5000, 0.2432)
Tc (0.5000, 0.5000, 0.5000)
V (0.0000, 0.0000, 0.1196)
V (0.0000, 0.0000, 0.8804)
V (0.0000, 0.0000, 0.3724)
Tc (0.5000, 0.5000, 0.7568)
Co (0.5000, 0.5000, 0.0000)



The following is a DFT calculation (PBE) of an optimized crystal structure of V6CoTc5.

Summary:
- DFT total energy (eV per cell) = -117.4
- space group = Immm (71)
- M_tot (μB per atom) = 0.145

Cell lengths 4.2564, 6.0259, 7.3519 Å; angles 114.19, 106.83, 90.00 degrees
Element x y z (fractional)
Tc (0.6675, 0.6675, 0.3350)
V (0.5000, 0.2494, 0.0000)
Tc (0.0000, 0.5000, 0.0000)
V (0.8338, 0.0834, 0.6676)
Tc (0.6635, 0.1635, 0.3270)
V (0.1662, 0.4158, 0.3324)
V (0.5000, 0.7506, 0.0000)
Tc (0.3325, 0.3325, 0.6650)
Tc (0.3365, 0.8365, 0.6730)
V (0.1662, 0.9166, 0.3324)
V (0.8338, 0.5842, 0.6676)
Co (0.0000, 0.0000, 0.0000)



The following is a DFT calculation (PBE) of an optimized crystal structure of V4Co2Tc.

Summary:
- DFT total energy (eV per cell) = -54.0
- space group = I4/mmm (139)
- M_tot (μB per atom) = 0.433

Cell lengths 4.4432, 4.4432, 6.6352 Å; angles 70.44, 70.44, 90.00 degrees
Element x y z (fractional)
V (0.5000, 0.0000, 0.0000)
Tc (0.0000, 0.0000, 0.0000)
V (0.7928, 0.7928, 0.4145)
V (0.2072, 0.2072, 0.5855)
Co (0.3937, 0.3937, 0.2126)
V (0.0000, 0.5000, 0.0000)
Co (0.6063, 0.6063, 0.7874)



The following is a DFT calculation (PBE) of an optimized crystal structure of V2Co4Tc.

Summary:
- DFT total energy (eV per cell) = -48.9
- space group = I4/mmm (139)
- M_tot (μB per atom) = 0.050

Cell lengths 4.3441, 4.3441, 6.6041 Å; angles 70.80, 70.80, 90.00 degrees
Element x y z (fractional)
Co (0.5000, 0.0000, 0.0000)
Co (0.2093, 0.2093, 0.5814)
Tc (0.0000, 0.0000, 0.0000)
V (0.3898, 0.3898, 0.2205)
V (0.6102, 0.6102, 0.7795)
Co (0.7907, 0.7907, 0.4186)
Co (0.0000, 0.5000, 0.0000)



The following is a DFT calculation (PBE) of an optimized crystal structure of V2Co6Tc.

Summary:
- DFT total energy (eV per cell) = -70.3
- space group = C2/m (12)
- M_tot (μB per atom) = 0.540

Cell lengths 6.2162, 4.5087, 4.5087 Å; angles 63.89, 74.32, 74.32 degrees
Element x y z (fractional)
Co (0.6975, 0.2044, 0.6761)
V (0.8898, 0.6752, 0.6752)
Co (0.3025, 0.7956, 0.3239)
Co (0.3025, 0.3239, 0.7956)
Co (0.4486, 0.7764, 0.7764)
Co (0.5514, 0.2236, 0.2236)
Co (0.6975, 0.6761, 0.2044)
V (0.1102, 0.3248, 0.3248)
Tc (0.0000, 0.0000, 0.0000)



The following is a DFT calculation (PBE) of an optimized crystal structure of VCo2Tc2.

Summary:
- DFT total energy (eV per cell) = -87.1
- space group = P4/mbm (127)
- M_tot (μB per atom) = 0.000

Cell lengths 7.0812, 7.0812, 2.6017 Å; angles 90.00, 90.00, 90.00 degrees
Element x y z (fractional)
V (0.5000, 0.5000, 0.0000)
Co (0.1192, 0.3808, 0.0000)
Tc (0.3232, 0.1768, 0.5000)
Co (0.6192, 0.1192, 0.0000)
Co (0.8808, 0.6192, 0.0000)
Tc (0.1768, 0.6768, 0.5000)
Co (0.3808, 0.8808, 0.0000)
V (0.0000, 0.0000, 0.0000)
Tc (0.6768, 0.8232, 0.5000)
Tc (0.8232, 0.3232, 0.5000)



The following is a DFT calculation (PBE) of an optimized crystal structure of V2CoTc2.

Summary:
- DFT total energy (eV per cell) = -89.8
- space group = P4/mbm (127)
- M_tot (μB per atom) = 0.223

Cell lengths 6.9233, 6.9233, 2.9441 Å; angles 90.00, 90.00, 90.00 degrees
Element x y z (fractional)
Tc (0.1591, 0.6591, 0.5000)
Tc (0.3409, 0.1591, 0.5000)
V (0.8538, 0.6462, 0.0000)
V (0.3538, 0.8538, 0.0000)
Co (0.0000, 0.0000, 0.0000)
Tc (0.8409, 0.3409, 0.5000)
Co (0.5000, 0.5000, 0.0000)
Tc (0.6591, 0.8409, 0.5000)
V (0.1462, 0.3538, 0.0000)
V (0.6462, 0.1462, 0.0000)



The following is a DFT calculation (PBE) of an optimized crystal structure of V2CoTc.

Summary:
- DFT total energy (eV per cell) = -36.5
- space group = P4/mmm (123)
- M_tot (μB per atom) = 0.445

Cell lengths 3.0053, 3.0053, 5.7790 Å; angles 90.00, 90.00, 90.00 degrees
Element x y z (fractional)
Tc (0.5000, 0.5000, 0.5000)
V (0.0000, 0.0000, 0.2445)
Co (0.5000, 0.5000, 0.0000)
V (0.0000, 0.0000, 0.7555)